Record 1
An optimized crystal structure of Zn4Pd3Au2, computed with PBE.

Lattice parameters (Å, degrees): 4.6801 4.6801 8.2318 100.63 100.63 51.42
With the nearest neighbours (Å) after each atom.
Element x y z (fractional)
1 Zn 0.0112 0.0112 0.3454  1 Zn 2.59, 6 Pd 2.68-2.88, 3 Au 2.73-2.90
2 Zn 0.3345 0.3345 0.1093  4 Pd 2.61-2.78, 4 Au 2.70-2.74, 2 Zn 2.89
3 Zn 0.6655 0.6655 0.8907  4 Pd 2.61-2.78, 4 Au 2.70-2.74, 2 Zn 2.89
4 Zn 0.9888 0.9888 0.6546  1 Zn 2.59, 6 Pd 2.68-2.88, 3 Au 2.73-2.90
5 Pd 0.0000 0.0000 0.0000  8 Zn 2.72-2.83, 4 Au 2.87
6 Pd 0.3359 0.3359 0.4266  6 Zn 2.61-2.88, 3 Pd 2.78-2.90, 2 Au 2.85
7 Pd 0.6641 0.6641 0.5734  6 Zn 2.61-2.88, 3 Pd 2.78-2.90, 2 Au 2.85
8 Au 0.3355 0.3355 0.7820  7 Zn 2.70-2.90, 5 Pd 2.85-2.93
9 Au 0.6645 0.6645 0.2180  7 Zn 2.70-2.90, 5 Pd 2.85-2.93

Results
Volume in Å³ per atom: 15.33
SG: C2/m
Formation energy in eV/atom: -0.38

=====

Record 2
An optimized crystal structure of ZnPd3Au, computed with PBE.

Lattice parameters (Å, degrees): 4.9760 4.9760 4.9760 90.00 90.00 90.00
With the nearest neighbours (Å) after each atom.
Element x y z (fractional)
1 Zn 0.0000 0.0000 0.0000  12 Pd 3.52
2 Pd 0.0000 0.5000 0.5000  2 Au 2.49
3 Pd 0.5000 0.0000 0.5000  2 Au 2.49
4 Pd 0.5000 0.5000 0.0000  2 Au 2.49
5 Au 0.5000 0.5000 0.5000  6 Pd 2.49

Results
Volume in Å³ per atom: 24.64
SG: Pm-3m
Formation energy in eV/atom: 0.94

=====

Record 3
An optimized crystal structure of Zn5Pd2Au5, computed with PBE.

Lattice parameters (Å, degrees): 6.6347 6.6347 8.9633 119.14 119.14 35.00
With the nearest neighbours (Å) after each atom.
Element x y z (fractional)
1 Zn 0.0000 0.0000 0.0000  8 Au 2.74-2.95, 4 Zn 2.79-2.92
2 Zn 0.0772 0.0772 0.7436  5 Au 2.65-2.79, 2 Pd 2.75-2.82, 1 Zn 2.92
3 Zn 0.2434 0.2434 0.2737  3 Pd 2.59-2.77, 5 Au 2.74-2.86, 1 Zn 2.79
4 Zn 0.7566 0.7566 0.7263  3 Pd 2.59-2.77, 5 Au 2.74-2.86, 1 Zn 2.79
5 Zn 0.9228 0.9228 0.2564  5 Au 2.65-2.79, 2 Pd 2.75-2.82, 1 Zn 2.92
6 Pd 0.1663 0.1663 0.5124  5 Zn 2.59-2.82, 5 Au 2.86-2.90
7 Pd 0.8337 0.8337 0.4876  5 Zn 2.59-2.82, 5 Au 2.86-2.90
8 Au 0.3169 0.3169 0.9661  5 Zn 2.65-2.95, 4 Au 2.86-2.89
9 Au 0.4287 0.4287 0.7582  6 Zn 2.74-2.86, 3 Au 2.86-2.89, 3 Pd 2.89-2.90
10 Au 0.5000 0.5000 0.5000  6 Zn 2.74-2.82, 4 Pd 2.86, 2 Au 2.88
11 Au 0.5713 0.5713 0.2418  6 Zn 2.74-2.86, 3 Au 2.86-2.89, 3 Pd 2.89-2.90
12 Au 0.6831 0.6831 0.0339  5 Zn 2.65-2.95, 4 Au 2.86-2.89

Results
Volume in Å³ per atom: 16.21
SG: C2/m
Formation energy in eV/atom: -0.26

=====

Record 4
An optimized crystal structure of ZnPd2Au, computed with PBE.

Lattice parameters (Å, degrees): 4.4657 4.4657 4.4657 60.00 60.00 60.00
With the nearest neighbours (Å) after each atom.
Element x y z (fractional)
1 Zn 0.0000 0.0000 0.0000  4 Pd 2.73, 4 Au 2.73
2 Pd 0.2500 0.2500 0.2500  4 Pd 2.73, 4 Zn 2.73
3 Pd 0.5000 0.5000 0.5000  4 Pd 2.73, 4 Au 2.73
4 Au 0.7500 0.7500 0.7500  4 Pd 2.73, 4 Zn 2.73

Results
Volume in Å³ per atom: 15.74
SG: F-43m
Formation energy in eV/atom: -0.26

=====

Record 5
An optimized crystal structure of ZnPd6Au, computed with PBE.

Lattice parameters (Å, degrees): 3.9773 3.9773 7.8354 90.00 90.00 90.00
With the nearest neighbours (Å) after each atom.
Element x y z (fractional)
1 Zn 0.0000 0.0000 0.0000  12 Pd 2.74-2.81
2 Pd 0.0000 0.5000 0.2414  2 Zn 2.74, 8 Pd 2.74-2.84, 2 Au 2.84
3 Pd 0.0000 0.5000 0.7586  2 Zn 2.74, 8 Pd 2.74-2.84, 2 Au 2.84
4 Pd 0.5000 0.0000 0.2414  2 Zn 2.74, 8 Pd 2.74-2.84, 2 Au 2.84
5 Pd 0.5000 0.0000 0.7586  2 Zn 2.74, 8 Pd 2.74-2.84, 2 Au 2.84
6 Pd 0.5000 0.5000 0.0000  8 Pd 2.74, 4 Zn 2.81
7 Pd 0.5000 0.5000 0.5000  4 Au 2.81, 8 Pd 2.84
8 Au 0.0000 0.0000 0.5000  12 Pd 2.81-2.84

Results
Volume in Å³ per atom: 15.49
SG: P4/mmm
Formation energy in eV/atom: -0.18

=====

Record 6
An optimized crystal structure of ZnPd5Au3, computed with PBE.

Lattice parameters (Å, degrees): 6.5977 6.5977 8.5759 90.73 90.73 70.77
With the nearest neighbours (Å) after each atom.
Element x y z (fractional)
1 Zn 0.1067 0.1067 0.2491  1 Pd 2.36, 2 Au 2.41-2.45
2 Zn 0.8933 0.8933 0.7509  1 Pd 2.36, 2 Au 2.41-2.45
3 Pd 0.0799 0.7025 0.2299  4 Pd 2.70-2.88, 4 Au 2.70-3.01, 1 Zn 2.73
4 Pd 0.2975 0.9201 0.7701  4 Pd 2.70-2.88, 4 Au 2.70-3.01, 1 Zn 2.73
5 Pd 0.3145 0.3145 0.3411  1 Zn 2.36, 1 Pd 2.63
6 Pd 0.3331 0.6669 0.5000  1 Au 2.55, 5 Pd 2.55-2.81
7 Pd 0.4944 0.4944 0.8468  4 Pd 2.63-2.76, 3 Au 2.68-2.82
8 Pd 0.5056 0.5056 0.1532  4 Pd 2.63-2.76, 3 Au 2.68-2.82
9 Pd 0.6669 0.3331 0.5000  1 Au 2.55, 5 Pd 2.55-2.81
10 Pd 0.6855 0.6855 0.6589  1 Zn 2.36, 1 Pd 2.63
11 Pd 0.7025 0.0799 0.2299  4 Pd 2.70-2.88, 4 Au 2.70-3.01, 1 Zn 2.73
12 Pd 0.9201 0.2975 0.7701  4 Pd 2.70-2.88, 4 Au 2.70-3.01, 1 Zn 2.73
13 Au 0.0000 0.0000 0.0000  2 Zn 2.41
14 Au 0.0000 0.0000 0.5000  2 Zn 2.45, 2 Pd 2.55
15 Au 0.2684 0.2684 0.0077  1 Zn 2.72, 5 Pd 2.81-3.01, 1 Au 2.89
16 Au 0.2979 0.2979 0.6515  6 Pd 2.67-2.85
17 Au 0.7021 0.7021 0.3485  6 Pd 2.67-2.85
18 Au 0.7316 0.7316 0.9923  1 Zn 2.72, 5 Pd 2.81-3.01, 1 Au 2.89

Results
Volume in Å³ per atom: 19.58
SG: C2/m
Formation energy in eV/atom: 0.21

=====

Q: Which of these has the lowest formation energy?
A: Zn4Pd3Au2

=====

Please write out number 4 again, unchanged.
An optimized crystal structure of ZnPd2Au, computed with PBE.

Lattice parameters (Å, degrees): 4.4657 4.4657 4.4657 60.00 60.00 60.00
With the nearest neighbours (Å) after each atom.
Element x y z (fractional)
1 Zn 0.0000 0.0000 0.0000  4 Pd 2.73, 4 Au 2.73
2 Pd 0.2500 0.2500 0.2500  4 Pd 2.73, 4 Zn 2.73
3 Pd 0.5000 0.5000 0.5000  4 Pd 2.73, 4 Au 2.73
4 Au 0.7500 0.7500 0.7500  4 Pd 2.73, 4 Zn 2.73

Results
Volume in Å³ per atom: 15.74
SG: F-43m
Formation energy in eV/atom: -0.26

=====

Q: Among the records above, which one has the highest volume?
A: ZnPd3Au

=====

What did the second record say?
An optimized crystal structure of ZnPd3Au, computed with PBE.

Lattice parameters (Å, degrees): 4.9760 4.9760 4.9760 90.00 90.00 90.00
With the nearest neighbours (Å) after each atom.
Element x y z (fractional)
1 Zn 0.0000 0.0000 0.0000  12 Pd 3.52
2 Pd 0.0000 0.5000 0.5000  2 Au 2.49
3 Pd 0.5000 0.0000 0.5000  2 Au 2.49
4 Pd 0.5000 0.5000 0.0000  2 Au 2.49
5 Au 0.5000 0.5000 0.5000  6 Pd 2.49

Results
Volume in Å³ per atom: 24.64
SG: Pm-3m
Formation energy in eV/atom: 0.94